A relaxed structure of Sr2Mg2F. Source: Alexandria via LeMat-Bulk, functional GGA-PBE.

Values from the calculation:
SG: P4/mbm
Offset from the most stable computed form, meV per atom: 0
Total energy, eV per atom: -2.592
Density of states at the Fermi level, states/eV/f.u.: 6.30
Total magnetic moment, μB per formula unit: 0.000

Structure (extended XYZ):
```
10
Lattice="7.165 0.000 0.000 0.000 7.165 0.000 0.000 0.000 6.219" Properties=species:S:1:pos:R:3 pbc="T T T"
Sr 1.364 2.219 0.000
Sr 4.947 1.364 0.000
Sr 5.801 4.947 0.000
Sr 2.219 5.801 0.000
Mg 4.609 6.139 3.110
Mg 1.026 4.609 3.110
Mg 6.139 2.556 3.110
Mg 2.556 1.026 3.110
F 3.583 3.583 0.000
F 0.000 0.000 0.000
```

A relaxed structure of Sr3Mg5F12. Source: Alexandria via LeMat-Bulk, functional GGA-PBE.

Values from the calculation:
SG: Ia-3d
Total energy, eV per atom: -4.829
Density of states at the Fermi level, states/eV/f.u.: 5.22
Total magnetic moment, μB per formula unit: 0.001

Structure (extended XYZ):
```
80
Lattice="11.797 0.000 0.000 -3.932 11.122 0.000 -3.932 -5.561 9.632" Properties=species:S:1:pos:R:3 pbc="T T T"
Mg -1.966 5.561 0.000
Mg 4.915 2.781 7.224
Mg 3.932 5.561 0.000
Mg -0.983 0.695 6.020
Mg 3.932 -2.781 4.816
Mg -0.983 2.781 2.408
Mg 4.915 4.866 3.612
Mg 0.983 3.476 8.428
Mg -3.932 2.781 4.816
Mg 5.898 0.000 0.000
Mg 1.966 2.781 4.816
Mg -1.966 -2.781 4.816
Mg 2.949 8.342 2.408
Mg 0.000 0.000 0.000
Mg -0.983 9.037 1.204
Mg -2.949 6.256 3.612
Mg 4.915 -3.476 8.428
Mg 0.983 -2.781 7.224
Mg 6.881 -0.695 6.020
Mg 2.949 2.085 1.204
F 8.152 -2.418 6.036
F 3.645 1.906 5.740
F 0.607 7.088 6.396
F 7.577 1.238 0.296
F 4.834 -0.993 5.472
F 6.186 9.884 0.296
F 1.359 4.034 6.396
F 1.679 7.467 3.892
F 6.506 -0.742 1.876
F 5.317 5.406 1.580
F 4.540 4.819 7.756
F -1.384 0.155 8.052
F -0.607 0.742 1.876
F -3.325 4.776 5.112
F 4.997 8.667 2.940
F -0.582 4.270 0.924
F -1.359 -0.785 4.520
F 2.253 -1.906 5.740
F -4.834 3.106 6.692
F 8.446 5.716 1.580
F 2.868 4.568 4.160
F -3.031 9.660 1.220
F 2.548 6.852 0.924
F 7.257 0.785 4.520
F 3.325 -1.527 3.236
F -2.573 6.303 7.756
F 2.548 4.115 0.656
F -4.220 7.979 3.596
F 2.573 1.527 3.236
F 6.186 3.143 3.596
F 1.384 1.446 8.976
F -1.064 -3.106 6.692
F 4.997 1.462 1.220
F -4.514 -0.155 8.052
F 5.291 6.346 5.112
F -3.645 4.323 9.336
F -1.064 4.099 8.412
F -0.902 6.554 4.160
F 6.963 -4.099 8.412
F 1.384 -1.291 8.708
F 1.064 0.993 5.472
F 4.514 -1.446 8.976
F -2.253 -4.323 9.336
F -0.582 7.007 0.656
F -2.253 2.418 6.036
F 4.514 1.291 8.708
F 8.766 2.455 2.940
F 0.287 3.655 3.892
Sr 8.848 0.000 2.408
Sr -4.915 5.561 7.224
Sr 4.915 0.695 3.612
Sr 0.983 5.561 2.408
Sr 6.881 3.476 1.204
Sr 6.881 7.646 1.204
Sr 0.983 -0.695 3.612
Sr -2.949 2.085 8.428
Sr 2.949 6.256 6.020
Sr -0.983 4.866 6.020
Sr 2.949 0.000 7.224
Sr -2.949 -2.085 8.428
```

A relaxed structure of Sr2Mg2F. Source: Alexandria via LeMat-Bulk, functional GGA-PBE.

Values from the calculation:
SG: P4/mbm
Offset from the most stable computed form, meV per atom: 406
Total energy, eV per atom: -2.186
Density of states at the Fermi level, states/eV/f.u.: 3.84
Total magnetic moment, μB per formula unit: 0.000

Structure (extended XYZ):
```
10
Lattice="-5.266 1.333 5.107 3.035 -5.139 4.470 3.360 4.073 2.402" Properties=species:S:1:pos:R:3 pbc="T T T"
Mg -2.495 -2.215 7.246
Mg 0.263 -1.592 2.331
Mg 0.739 -3.897 5.577
Mg -2.970 0.091 4.001
Sr 0.706 -1.363 8.330
Sr 2.827 -1.164 5.023
Sr 0.422 1.630 3.649
Sr -1.699 1.430 6.956
F 0.000 0.000 0.000
F -1.116 -1.903 4.789
```